Entry 1:
## TbPmTlPb (PBE-GGA)

Data for a relaxed structure of TbPmTlPb.

Computed properties:
Its magnetic moment is 0.00 μB per formula unit. The space group is I-4m2. The calculation puts the distance to the lowest polymorph of the same formula at 0.0 kJ/mol of atoms.

```
TbPmTlPb
1.0
-2.5353 2.5353 4.4576
2.5353 -2.5353 4.4576
2.5353 2.5353 -4.4576
Tb Pm Tl Pb
1 1 1 1
Cartesian
0.0000 0.0000 0.0000 Tb
0.0000 0.0000 4.4576 Pm
2.5353 0.0000 2.2288 Tl
0.0000 2.5353 2.2288 Pb
```

Entry 2:
## Tb6Pm2Tm3Pb (PBE-GGA)

Data for a relaxed structure of Tb6Pm2Tm3Pb.

Computed properties:
Its magnetic moment is 0.00 μB per formula unit. The space group is C2/m.

```
Tb6Pm2Tm3Pb
1.0
3.0472 -5.2794 0.0000
3.0472 5.2794 0.0000
-2.0325 0.0000 11.5764
Tb Pm Tm Pb
6 2 3 1
Cartesian
-0.0210 1.7282 8.7095 Tb
0.9805 0.0000 2.8550 Tb
-0.0210 -1.7282 8.7095 Tb
4.0829 1.7282 2.8669 Tb
3.0814 0.0000 8.7214 Tb
4.0829 -1.7282 2.8669 Tb
2.0309 1.7541 5.7882 Pm
2.0309 -1.7541 5.7882 Pm
3.0472 3.5108 0.0000 Tm
3.0472 0.0000 0.0000 Tm
3.0472 -3.5108 0.0000 Tm
-1.0162 0.0000 5.7882 Pb
```

Entry 3:
## Tb3Pm2Tm6Pb (PBE-GGA)

Data for a relaxed structure of Tb3Pm2Tm6Pb.

Computed properties:
Its magnetic moment is 0.00 μB per formula unit. The space group is C2/m.

```
Tb3Pm2Tm6Pb
1.0
3.0313 -5.2529 0.0000
3.0313 5.2529 0.0000
-2.0312 0.0000 11.4743
Tb Pm Tm Pb
3 2 6 1
Cartesian
0.0000 0.0000 0.0000 Tb
3.0313 1.7564 0.0000 Tb
3.0313 -1.7564 0.0000 Tb
2.0158 3.5058 5.7371 Pm
2.0158 -3.5058 5.7371 Pm
1.0294 1.7223 2.8712 Tm
0.0216 0.0000 8.6126 Tm
1.0294 -1.7223 2.8712 Tm
3.0021 1.7223 8.6031 Tm
4.0099 0.0000 2.8617 Tm
3.0021 -1.7223 8.6031 Tm
2.0158 0.0000 5.7371 Pb
```

Entry 4:
## Tb3Pm2Y6Pb (PBE-GGA)

Data for a relaxed structure of Tb3Pm2Y6Pb.

Computed properties:
Its magnetic moment is 0.00 μB per formula unit. The space group is C2/m.

```
Tb3Pm2Y6Pb
1.0
3.0716 -5.3230 0.0000
3.0716 5.3230 0.0000
-2.0589 0.0000 11.5917
Tb Pm Y Pb
3 2 6 1
Cartesian
0.0000 0.0000 0.0000 Tb
3.0716 1.7787 0.0000 Tb
3.0716 -1.7787 0.0000 Tb
2.0421 3.5551 5.7959 Pm
2.0421 -3.5551 5.7959 Pm
1.0469 1.7384 2.9122 Y
0.0284 0.0000 8.6928 Y
1.0469 -1.7384 2.9122 Y
3.0373 1.7384 8.6795 Y
4.0559 0.0000 2.8989 Y
3.0373 -1.7384 8.6795 Y
2.0421 0.0000 5.7959 Pb
```

Entry 5:
## Pm2TcPb (PBE-GGA)

Data for a relaxed structure of Pm2TcPb.

Computed properties:
Its magnetic moment is 0.00 μB per formula unit. The space group is Fm-3m. The calculation puts the distance to the lowest polymorph of the same formula at 10.5 kJ/mol of atoms.

```
Pm2TcPb
1.0
0.0000 3.7143 3.7143
3.7143 0.0000 3.7143
3.7143 3.7143 0.0000
Pm Tc Pb
2 1 1
Cartesian
1.8572 1.8572 1.8572 Pm
5.5715 5.5715 5.5715 Pm
0.0000 0.0000 0.0000 Tc
3.7143 3.7143 3.7143 Pb
```

Entry 6:
## Pm8TcPb2 (PBE-GGA)

Data for a relaxed structure of Pm8TcPb2.

Computed properties:
Its magnetic moment is 0.00 μB per formula unit. The space group is Immm.

```
Pm8TcPb2
1.0
-2.8670 3.5617 8.1238
2.8670 -3.5617 8.1238
2.8670 3.5617 -8.1238
Pm Tc Pb
8 1 2
Cartesian
2.8670 1.8710 -2.0150 Pm
0.0000 0.0000 3.1473 Pm
0.0000 1.7371 0.0000 Pm
2.8670 1.8710 2.0150 Pm
0.0000 1.6907 6.1088 Pm
0.0000 5.3863 0.0000 Pm
0.0000 0.0000 13.1002 Pm
0.0000 1.6907 10.1388 Pm
2.8670 0.0000 0.0000 Tc
2.8670 0.0000 5.0943 Pb
0.0000 3.5617 3.0295 Pb
```

Entry 7:
## Pm2TcPb (PBE-GGA)

Data for a relaxed structure of Pm2TcPb.

Computed properties:
Its magnetic moment is 0.00 μB per formula unit. The space group is P4/mmm. The calculation puts the distance to the lowest polymorph of the same formula at 0.0 kJ/mol of atoms.

```
Pm2TcPb
1.0
3.5621 0.0000 0.0000
0.0000 3.5621 0.0000
0.0000 0.0000 8.2441
Pm Tc Pb
2 1 1
Cartesian
0.0000 0.0000 1.7031 Pm
0.0000 0.0000 6.5410 Pm
1.7811 1.7811 0.0000 Tc
1.7811 1.7811 4.1220 Pb
```

Entry 8:
## Pm4TcPb (PBE-GGA)

Data for a relaxed structure of Pm4TcPb.

Computed properties:
Its magnetic moment is 0.00 μB per formula unit. The space group is C2/c.

```
Pm4TcPb
1.0
4.4541 -6.8359 0.0000
4.4541 6.8359 0.0000
-2.0724 0.0000 6.0094
Pm Tc Pb
8 2 2
Cartesian
1.5150 4.5448 5.6977 Pm
1.2057 1.0094 3.7229 Pm
4.2846 4.5448 3.3164 Pm
2.2419 -1.0094 0.7182 Pm
4.5940 1.0094 5.2912 Pm
2.5512 -4.5448 2.6930 Pm
5.6302 -1.0094 2.2865 Pm
5.3208 -4.5448 0.3117 Pm
3.9360 6.8230 1.5023 Tc
2.8998 -6.8230 4.5070 Tc
3.9360 1.7184 1.5023 Pb
2.8998 -1.7184 4.5070 Pb
```

Entry 9:
## Pm4TcPb2 (PBE-GGA)

Data for a relaxed structure of Pm4TcPb2.

Computed properties:
Its magnetic moment is 0.00 μB per formula unit. The space group is I4/mmm.

```
Pm4TcPb2
1.0
-2.5983 2.5983 8.4608
2.5983 -2.5983 8.4608
2.5983 2.5983 -8.4608
Pm Tc Pb
4 1 2
Cartesian
2.5983 0.0000 0.0000 Pm
0.0000 0.0000 2.9244 Pm
0.0000 2.5983 0.0000 Pm
0.0000 0.0000 13.9972 Pm
0.0000 0.0000 0.0000 Tc
0.0000 0.0000 6.1129 Pb
0.0000 0.0000 10.8087 Pb
```

Entry 10:
## Pm6Tc2Pb (PBE-GGA)

Data for a relaxed structure of Pm6Tc2Pb.

Computed properties:
Its magnetic moment is 0.00 μB per formula unit. The space group is Immm.

```
Pm6Tc2Pb
1.0
-4.9117 4.9193 5.3874
4.9117 -4.9193 5.3874
4.9117 4.9193 -5.3874
Pm Tc Pb
12 4 2
Cartesian
4.9117 2.7908 -2.8406 Pm
2.7847 1.8985 0.0000 Pm
7.0386 1.8985 0.0000 Pm
1.9848 4.9193 -1.9902 Pm
2.9269 0.0000 3.3972 Pm
0.0000 2.1285 2.5468 Pm
4.9117 2.7908 2.8406 Pm
1.9848 4.9193 1.9902 Pm
2.9269 0.0000 7.3776 Pm
-2.1270 3.0208 5.3874 Pm
2.1270 3.0208 5.3874 Pm
0.0000 2.1285 8.2280 Pm
4.9117 0.0000 1.2033 Tc
0.0000 3.6920 0.0000 Tc
0.0000 6.1467 0.0000 Tc
0.0000 4.9193 4.1842 Tc
0.0000 0.0000 0.0000 Pb
0.0000 0.0000 5.3874 Pb
```

Entry 11:
## Pm4TePb3 (PBE-GGA)

Data for a relaxed structure of Pm4TePb3.

Computed properties:
Its magnetic moment is 0.00 μB per formula unit. The space group is Cmmm. The formation energy (no corrections) comes out at -0.729 eV/atom.

```
Pm4TePb3
1.0
4.6857 -6.4019 0.0000
4.6857 6.4019 0.0000
0.0000 0.0000 4.3803
Pm Te Pb
4 1 3
Cartesian
2.3184 0.0000 2.1901 Pm
4.6857 3.2214 0.0000 Pm
4.6857 -3.2214 0.0000 Pm
7.0531 0.0000 2.1901 Pm
0.0000 0.0000 0.0000 Te
2.3429 3.2010 2.1901 Pb
2.3429 -3.2010 2.1901 Pb
4.6857 0.0000 0.0000 Pb
```

| no. | E (eV per atom) | density (Mg/m³) |
| --- | --- | --- |
| 1 | -4.294 | 10.4 |
| 2 | -4.595 | 8.7 |
| 3 | -4.558 | 9.0 |
| 4 | -5.557 | 6.6 |
| 5 | -5.904 | 9.6 |
| 6 | -5.278 | 8.4 |
| 7 | -6.013 | 9.4 |
| 8 | -5.748 | 8.0 |
| 9 | -5.393 | 7.9 |
| 10 | -6.011 | 8.1 |
| 11 | -4.888 | 8.4 |